DFT (PBE) results for an optimized crystal structure of PuTlGeAu.

Unit cell a=5.062 b=5.062 c=5.062 alpha=60.00 beta=60.00 gamma=60.00
Fractional coordinates of all 4 atoms:
1 Pu 0.000 0.000 0.000
2 Tl 0.500 0.500 0.500
3 Ge 0.750 0.750 0.750
4 Au 0.250 0.250 0.250

Output
SG = F-43m, No. 216
DFT formation energy = -0.1667 eV/atom

DFT (PBE) results for an optimized crystal structure of YAgSCl2.

Unit cell a=4.908 b=4.908 c=5.062 alpha=90.00 beta=90.00 gamma=90.00
Fractional coordinates of all 5 atoms:
1 Y 0.000 0.000 0.000
2 Ag 0.500 0.500 0.500
3 S 0.500 0.500 0.000
4 Cl 0.000 0.500 0.500
5 Cl 0.500 0.000 0.500

Output
SG = P4/mmm, No. 123
distance to the lowest polymorph of the same formula = 603 meV per atom
formation energy without anion corrections = -533 meV/atom

DFT (PBE) results for an optimized crystal structure of Nd2SmMg2Sn2.

Unit cell a=9.469 b=9.469 c=9.469 alpha=30.70 beta=30.70 gamma=30.70
Fractional coordinates of all 7 atoms:
1 Nd 0.130 0.130 0.130
2 Nd 0.870 0.870 0.870
3 Sm 0.000 0.000 0.000
4 Mg 0.402 0.402 0.402
5 Mg 0.598 0.598 0.598
6 Sn 0.266 0.266 0.266
7 Sn 0.734 0.734 0.734

Output
SG = R-3m, No. 166
DFT formation energy = -0.3736 eV/atom

DFT (PBE) results for an optimized crystal structure of K2ErZn2O4.

Unit cell a=7.326 b=7.326 c=6.619 alpha=106.05 beta=106.05 gamma=26.43
Fractional coordinates of all 9 atoms:
1 K 0.124 0.124 0.062
2 K 0.876 0.876 0.938
3 Er 0.000 0.000 0.500
4 Zn 0.318 0.318 0.457
5 Zn 0.682 0.682 0.543
6 O 0.163 0.163 0.699
7 O 0.453 0.453 0.682
8 O 0.547 0.547 0.318
9 O 0.837 0.837 0.301

Output
SG = C2/m, No. 12
formation energy without anion corrections = -1782 meV/atom

DFT (PBE) results for an optimized crystal structure of La2TaMo.

Unit cell a=4.160 b=4.160 c=5.384 alpha=90.00 beta=90.00 gamma=90.00
Fractional coordinates of all 4 atoms:
1 La 0.000 0.500 0.000
2 La 0.500 0.000 0.000
3 Ta 0.000 0.000 0.500
4 Mo 0.500 0.500 0.500

Output
SG = P4/mmm, No. 123
distance to the lowest polymorph of the same formula = 442 meV per atom
DFT formation energy = 0.6744 eV/atom

DFT (PBE) results for an optimized crystal structure of ZnSe2BrCl.

Unit cell a=5.082 b=5.082 c=5.066 alpha=90.00 beta=90.00 gamma=90.00
Fractional coordinates of all 5 atoms:
1 Zn 0.000 0.000 0.000
2 Se 0.000 0.500 0.000
3 Se 0.500 0.000 0.000
4 Br 0.000 0.000 0.500
5 Cl 0.500 0.500 0.500

Output
SG = P4/mmm, No. 123
distance to the lowest polymorph of the same formula = 0 meV per atom
formation energy without anion corrections = 367 meV/atom

DFT (PBE) results for an optimized crystal structure of Cs3KCa2F9.

Unit cell a=6.663 b=6.663 c=8.281 alpha=90.00 beta=90.00 gamma=120.00
Fractional coordinates of all 15 atoms:
1 Cs 0.000 0.000 0.000
2 Cs 0.333 0.667 0.653
3 Cs 0.667 0.333 0.347
4 K 0.000 0.000 0.500
5 Ca 0.333 0.667 0.147
6 Ca 0.667 0.333 0.853
7 F 0.000 0.500 0.000
8 F 0.180 0.360 0.315
9 F 0.180 0.820 0.315
10 F 0.360 0.180 0.685
11 F 0.500 0.000 0.000
12 F 0.500 0.500 0.000
13 F 0.640 0.820 0.315
14 F 0.820 0.180 0.685
15 F 0.820 0.640 0.685

Output
SG = P-3m1, No. 164
formation energy without anion corrections = -3032 meV/atom

DFT (PBE) results for an optimized crystal structure of BSb3Pb.

Unit cell a=4.984 b=4.984 c=4.984 alpha=90.00 beta=90.00 gamma=90.00
Fractional coordinates of all 5 atoms:
1 B 0.000 0.000 0.000
2 Sb 0.000 0.000 0.500
3 Sb 0.000 0.500 0.000
4 Sb 0.500 0.000 0.000
5 Pb 0.500 0.500 0.500

Output
SG = Pm-3m, No. 221
distance to the lowest polymorph of the same formula = 0 meV per atom
formation energy without anion corrections = 620 meV/atom

DFT (PBE) results for an optimized crystal structure of NaInSe2.

Unit cell a=10.469 b=10.469 c=5.583 alpha=90.00 beta=90.00 gamma=158.37
Fractional coordinates of all 8 atoms:
1 Na 0.060 0.940 0.750
2 Na 0.940 0.060 0.250
3 In 0.323 0.677 0.750
4 In 0.677 0.323 0.250
5 Se 0.085 0.915 0.250
6 Se 0.200 0.800 0.750
7 Se 0.800 0.200 0.250
8 Se 0.915 0.085 0.750

Output
SG = Cmcm, No. 63
formation energy without anion corrections = -510 meV/atom

DFT (PBE) results for an optimized crystal structure of Li2Cu2Cl.

Unit cell a=7.800 b=7.800 c=7.800 alpha=155.42 beta=155.42 gamma=35.04
Fractional coordinates of all 5 atoms:
1 Li 0.099 0.099 0.000
2 Li 0.901 0.901 0.000
3 Cu 0.250 0.750 0.500
4 Cu 0.750 0.250 0.500
5 Cl 0.500 0.500 0.000

Output
SG = I4/mmm, No. 139
distance to the lowest polymorph of the same formula = 0 meV per atom
formation energy without anion corrections = -496 meV/atom

DFT (PBE) results for an optimized crystal structure of Tc2IrSe.

Unit cell a=2.888 b=4.008 c=5.352 alpha=90.00 beta=104.63 gamma=90.00
Fractional coordinates of all 4 atoms:
1 Tc 0.128 0.000 0.257
2 Tc 0.872 0.000 0.743
3 Ir 0.500 0.500 0.000
4 Se 0.500 0.500 0.500

Output
SG = P2/m, No. 10
formation energy without anion corrections = 225 meV/atom

DFT (PBE) results for an optimized crystal structure of DyEr3Rh3.

Unit cell a=6.879 b=6.879 c=6.652 alpha=90.00 beta=90.00 gamma=90.71
Fractional coordinates of all 14 atoms:
1 Dy 0.247 0.247 0.000
2 Dy 0.753 0.753 0.000
3 Er 0.254 0.746 0.500
4 Er 0.255 0.255 0.500
5 Er 0.261 0.739 0.000
6 Er 0.739 0.261 0.000
7 Er 0.745 0.745 0.500
8 Er 0.746 0.254 0.500
9 Rh 0.000 0.500 0.251
10 Rh 0.000 0.500 0.749
11 Rh 0.500 0.000 0.251
12 Rh 0.500 0.000 0.749
13 Rh 0.500 0.500 0.251
14 Rh 0.500 0.500 0.749

Output
SG = Cmmm, No. 65
DFT formation energy = -0.7593 eV/atom

DFT (PBE) results for an optimized crystal structure of MoN.

Unit cell a=7.531 b=7.531 c=3.380 alpha=90.00 beta=90.00 gamma=120.00
Fractional coordinates of all 12 atoms:
1 Mo 0.119 0.662 0.250
2 Mo 0.338 0.457 0.250
3 Mo 0.457 0.119 0.750
4 Mo 0.543 0.881 0.250
5 Mo 0.662 0.543 0.750
6 Mo 0.881 0.338 0.750
7 N 0.021 0.337 0.250
8 N 0.316 0.979 0.250
9 N 0.337 0.316 0.750
10 N 0.663 0.684 0.250
11 N 0.684 0.021 0.750
12 N 0.979 0.663 0.750

Output
SG = P6_3/m, No. 176
formation energy without anion corrections = -251 meV/atom

DFT (PBE) results for an optimized crystal structure of ScHg2Ir.

Unit cell a=9.181 b=9.181 c=9.181 alpha=20.63 beta=20.63 gamma=20.63
Fractional coordinates of all 4 atoms:
1 Sc 0.000 0.000 0.000
2 Hg 0.244 0.244 0.244
3 Hg 0.484 0.484 0.484
4 Ir 0.732 0.732 0.732

Output
SG = R3m, No. 160
distance to the lowest polymorph of the same formula = 176 meV per atom
DFT formation energy = -0.1060 eV/atom

DFT (PBE) results for an optimized crystal structure of Na2Zn3Sn2.

Unit cell a=6.306 b=6.306 c=7.058 alpha=117.70 beta=117.70 gamma=41.50
Fractional coordinates of all 7 atoms:
1 Na 0.149 0.149 0.278
2 Na 0.851 0.851 0.722
3 Zn 0.422 0.422 0.073
4 Zn 0.500 0.500 0.500
5 Zn 0.578 0.578 0.927
6 Sn 0.148 0.148 0.761
7 Sn 0.852 0.852 0.239

Output
SG = C2/m, No. 12
DFT formation energy = -0.0811 eV/atom

DFT (PBE) results for an optimized crystal structure of LiAcBi2.

Unit cell a=5.663 b=5.663 c=5.663 alpha=60.00 beta=60.00 gamma=60.00
Fractional coordinates of all 4 atoms:
1 Li 0.000 0.000 0.000
2 Ac 0.500 0.500 0.500
3 Bi 0.250 0.250 0.250
4 Bi 0.750 0.750 0.750

Output
SG = Fm-3m, No. 225
distance to the lowest polymorph of the same formula = 234 meV per atom
DFT formation energy = -0.4959 eV/atom

DFT (PBE) results for an optimized crystal structure of Rb4U3InO12.

Unit cell a=7.491 b=7.491 c=7.491 alpha=109.47 beta=109.47 gamma=109.47
Fractional coordinates of all 20 atoms:
1 Rb 0.000 0.000 0.500
2 Rb 0.000 0.500 0.000
3 Rb 0.500 0.000 0.000
4 Rb 0.500 0.500 0.500
5 U 0.000 0.500 0.500
6 U 0.500 0.000 0.500
7 U 0.500 0.500 0.000
8 In 0.000 0.000 0.000
9 O 0.000 0.263 0.263
10 O 0.000 0.737 0.737
11 O 0.250 0.500 0.750
12 O 0.250 0.750 0.500
13 O 0.263 0.000 0.263
14 O 0.263 0.263 0.000
15 O 0.500 0.250 0.750
16 O 0.500 0.750 0.250
17 O 0.737 0.000 0.737
18 O 0.737 0.737 0.000
19 O 0.750 0.250 0.500
20 O 0.750 0.500 0.250

Output
SG = Im-3m, No. 229
formation energy without anion corrections = -2614 meV/atom

DFT (PBE) results for an optimized crystal structure of CsNbFe2Os.

Unit cell a=4.580 b=4.580 c=5.607 alpha=90.00 beta=90.00 gamma=90.00
Fractional coordinates of all 5 atoms:
1 Cs 0.000 0.000 0.000
2 Nb 0.000 0.000 0.500
3 Fe 0.000 0.500 0.500
4 Fe 0.500 0.000 0.500
5 Os 0.500 0.500 0.000

Output
SG = P4/mmm, No. 123
DFT formation energy = 2.5923 eV/atom

DFT (PBE) results for an optimized crystal structure of La6DyPb.

Unit cell a=5.113 b=5.113 c=10.463 alpha=90.00 beta=90.00 gamma=90.00
Fractional coordinates of all 8 atoms:
1 La 0.000 0.000 0.000
2 La 0.000 0.000 0.500
3 La 0.000 0.500 0.245
4 La 0.000 0.500 0.755
5 La 0.500 0.000 0.245
6 La 0.500 0.000 0.755
7 Dy 0.500 0.500 0.500
8 Pb 0.500 0.500 0.000

Output
SG = P4/mmm, No. 123
DFT formation energy = -0.1659 eV/atom

DFT (PBE) results for an optimized crystal structure of ZnGaH2.

Unit cell a=3.920 b=3.920 c=3.920 alpha=60.00 beta=60.00 gamma=60.00
Fractional coordinates of all 4 atoms:
1 Zn 0.000 0.000 0.000
2 Ga 0.500 0.500 0.500
3 H 0.250 0.250 0.250
4 H 0.750 0.750 0.750

Output
SG = Fm-3m, No. 225
distance to the lowest polymorph of the same formula = 266 meV per atom

For the records above, the corresponding M_tot values read 5.7 0.0 0.0 0.0 0.0 2.5 1.3 0.0 0.0 0.0 0.0 0.0 0.0 0.0 0.0 0.0 1.0 4.9 0.0 0.0 Bohr magnetons per cell.
For the records above, the corresponding calculated volume values read 91.7 121.9 196.2 151.6 93.2 130.9 318.4 123.8 225.5 82.0 59.9 314.7 166.0 84.1 161.4 128.4 323.6 117.6 273.5 42.6 Å³/cell.